(1)
## BaP2O5 (GGA-PBE)

Data for BaP2O5 after structural relaxation.

Lattice parameters (Å, degrees): 6.878 23.561 7.095 90.00 90.00 90.00
Space group Fdd2 (No. 43)
Asymmetric unit:
Ba  0.000  0.000  0.000 [8 per cell]
P  0.001  0.062  0.465 [16 per cell]
O  0.000  0.000  0.596 [8 per cell]
O  0.061  0.188  0.603 [16 per cell]
O  0.064  0.310  0.597 [16 per cell]

total energy: -430.1 eV/cell
crystal system: orthorhombic

---

(2)
## Ba3PO2 (GGA-PBE)

Data for Ba3PO2 after structural relaxation.

Lattice parameters (Å, degrees): 13.400 7.089 7.657 90.00 109.66 90.00
Space group C2/c (No. 15)
Asymmetric unit:
Ba  0.000  0.013  0.250 [4 per cell]
Ba  0.199  0.420  0.121 [8 per cell]
P  0.000  0.492  0.750 [4 per cell]
O  0.160  0.062  0.078 [8 per cell]

Fermi-level density of states: 23.02 states/eV per cell
total energy: -126.9 eV/cell
crystal system: monoclinic

---

(3)
## Ba3Pa2P2O5 (GGA-PBE)

Data for Ba3Pa2P2O5 after structural relaxation.

Lattice parameters (Å, degrees): 4.469 4.469 26.812 90.00 90.00 90.00
Space group I4/mmm (No. 139)
Asymmetric unit:
Ba  0.000  0.000  0.000 [2 per cell]
Ba  0.000  0.000  0.192 [4 per cell]
Pa  0.000  0.000  0.417 [4 per cell]
P  0.000  0.000  0.317 [4 per cell]
O  0.000  0.000  0.500 [2 per cell]
O  0.000  0.500  0.073 [8 per cell]

total energy: -183.4 eV/cell
crystal system: tetragonal

---

(4)
## BaP2PbO8 (GGA-PBE)

Data for BaP2PbO8 after structural relaxation.

Lattice parameters (Å, degrees): 4.9565 4.9565 24.3733 90.00 90.00 120.00
Space group R32 (No. 155, hexagonal axes)
Asymmetric unit:
Ba  0.0000  0.0000  0.0000 [3 per cell]
P  0.0000  0.0000  0.2450 [6 per cell]
Pb  0.0000  0.0000  0.5000 [3 per cell]
O  0.0000  0.0000  0.3079 [6 per cell]
O  0.0135  0.3057  0.2248 [18 per cell]

total energy: -244.4 eV/cell
crystal system: trigonal

---

(5)
## BaPPbO4 (GGA-PBE)

Data for BaPPbO4 after structural relaxation.

Lattice parameters (Å, degrees): 9.024 9.024 9.024 90.00 90.00 90.00
Space group F-43m (No. 216)
Asymmetric unit:
Ba  0.000  0.000  0.000 [4 per cell]
P  0.000  0.000  0.500 [4 per cell]
Pb  0.250  0.250  0.750 [4 per cell]
O  0.100  0.100  0.600 [16 per cell]

Fermi-level density of states: 12.89 states/eV per cell
total energy: -170.3 eV/cell
crystal system: cubic

---

(6)
## BaP2PdO8 (GGA-PBE)

Data for BaP2PdO8 after structural relaxation.

Lattice parameters (Å, degrees): 4.8473 4.8473 23.4953 90.00 90.00 120.00
Space group R-3 (No. 148, hexagonal axes)
Asymmetric unit:
Ba  0.0000  0.0000  0.0000 [3 per cell]
P  0.0000  0.0000  0.2379 [6 per cell]
Pd  0.0000  0.0000  0.5000 [3 per cell]
O  0.0000  0.0000  0.3033 [6 per cell]
O  0.0154  0.3675  0.8855 [18 per cell]

total energy: -243.1 eV/cell
crystal system: trigonal

---

(7)
## BaP2PdO (GGA-PBE)

Data for BaP2PdO after structural relaxation.

Lattice parameters (Å, degrees): 5.840 5.840 4.347 90.00 90.00 90.00
Space group P4/mmm (No. 123)
Asymmetric unit:
Ba  0.000  0.000  0.000 [1 per cell]
P  0.000  0.500  0.000 [2 per cell]
Pd  0.500  0.500  0.500 [1 per cell]
O  0.000  0.000  0.500 [1 per cell]

Fermi-level density of states: 3.60 states/eV per cell
total energy: -17.2 eV/cell
crystal system: tetragonal
polymorph energy (0 for the lowest one): 1.3879 eV per atom

---

(8)
## BaPPdO2 (GGA-PBE)

Data for BaPPdO2 after structural relaxation.

Lattice parameters (Å, degrees): 4.334 4.334 7.327 90.00 90.00 90.00
Space group P4/mmm (No. 123)
Asymmetric unit:
Ba  0.000  0.000  0.000 [1 per cell]
P  0.000  0.000  0.500 [1 per cell]
Pd  0.500  0.500  0.500 [1 per cell]
O  0.000  0.500  0.000 [2 per cell]

Fermi-level density of states: 5.86 states/eV per cell
total energy: -20.1 eV/cell
crystal system: tetragonal
polymorph energy (0 for the lowest one): 1.0599 eV per atom